Below is HgTeCI2 after structural relaxation, with properties calculated at the GGA-PBEsol level.

Unit cell a=5.7131 b=5.7131 c=5.6388 alpha=90.00 beta=90.00 gamma=90.00
Space group P4/mmm (No. 123)
Asymmetric unit:
Hg 0.0000 0.0000 0.0000 x1
Te 0.0000 0.0000 0.5000 x1
C 0.5000 0.5000 0.5000 x1
I 0.0000 0.5000 0.0000 x2

Summary:
The theoretical density is 5.359 g/cm3. Its energy relative to the elements, uncorrected is 1.805 eV/atom. The calculation puts the total energy at -8.244 eV per cell.

***

Below is HgTe2CI after structural relaxation, with properties calculated at the GGA-PBEsol level.

Unit cell a=5.9573 b=5.9573 c=3.9119 alpha=90.00 beta=90.00 gamma=90.00
Space group P4/mmm (No. 123)
Asymmetric unit:
Hg 0.0000 0.0000 0.0000 x1
Te 0.0000 0.5000 0.0000 x2
C 0.0000 0.0000 0.5000 x1
I 0.5000 0.5000 0.5000 x1

Summary:
The theoretical density is 7.113 g/cm3. Its energy relative to the elements, uncorrected is 1.396 eV/atom. The calculation puts the total energy at -12.051 eV per cell.

***

Below is NbHgIr2C after structural relaxation, with properties calculated at the GGA-PBEsol level.

Unit cell a=4.8350 b=4.8350 c=4.9494 alpha=90.00 beta=90.00 gamma=90.00
Space group P4/mmm (No. 123)
Asymmetric unit:
Nb 0.0000 0.0000 0.0000 x1
Hg 0.0000 0.0000 0.5000 x1
Ir 0.0000 0.5000 0.5000 x2
C 0.5000 0.5000 0.0000 x1

Summary:
The theoretical density is 9.902 g/cm3. The formation energy comes out at 3.688 eV per atom. The calculation puts the total energy at -22.241 eV per cell.

***

Below is HgIrOsC2 after structural relaxation, with properties calculated at the GGA-PBEsol level.

Unit cell a=3.9514 b=3.9514 c=5.1810 alpha=90.00 beta=90.00 gamma=90.00
Space group P4/mmm (No. 123)
Asymmetric unit:
Hg 0.0000 0.0000 0.0000 x1
Ir 0.0000 0.0000 0.5000 x1
Os 0.5000 0.5000 0.5000 x1
C 0.0000 0.5000 0.0000 x2

Summary:
The theoretical density is 12.462 g/cm3. The formation energy comes out at 3.633 eV per atom. The calculation puts the total energy at -23.731 eV per cell.

***

Below is KHgC2 after structural relaxation, with properties calculated at the GGA-PBEsol level.

Unit cell a=4.2574 b=4.2574 c=15.7086 alpha=90.00 beta=90.00 gamma=90.00
Space group I4_1/amd (No. 141, origin choice 2)
Asymmetric unit:
K 0.0000 0.2500 0.3750 x4
Hg 0.0000 0.2500 0.8750 x4
C 0.0000 0.0000 0.0000 x8

Summary:
The theoretical density is 6.152 g/cm3. The formation energy comes out at 2.023 eV per atom. The calculation puts the total energy at -51.588 eV per cell.

***

Below is K2HgMoC after structural relaxation, with properties calculated at the GGA-PBEsol level.

Unit cell a=6.5396 b=6.5396 c=3.8953 alpha=90.00 beta=90.00 gamma=90.00
Space group P4/mmm (No. 123)
Asymmetric unit:
K 0.0000 0.5000 0.0000 x2
Hg 0.0000 0.0000 0.5000 x1
Mo 0.5000 0.5000 0.0000 x1
C 0.5000 0.5000 0.5000 x1

Summary:
The theoretical density is 3.855 g/cm3. The formation energy comes out at 1.078 eV per atom. The calculation puts the total energy at -18.854 eV per cell.

***

Below is KHgC3S3N3 after structural relaxation, with properties calculated at the GGA-PBEsol level.

Unit cell a=10.9719 b=4.0208 c=11.3636 alpha=90.00 beta=115.05 gamma=90.00
Space group P2_1/m (No. 11)
Asymmetric unit:
K 0.2063 0.2500 0.0923 x2
Hg 0.2283 0.7500 0.6450 x2
C 0.0339 0.7500 0.7821 x2
C 0.2940 0.7500 0.3975 x2
C 0.4766 0.2500 0.8554 x2
S 0.0056 0.2500 0.3754 x2
S 0.3155 0.2500 0.8253 x2
S 0.3940 0.7500 0.5545 x2
N 0.0605 0.7500 0.8941 x2
N 0.2299 0.7500 0.2840 x2
N 0.4079 0.7500 0.1209 x2

Summary:
The theoretical density is 3.027 g/cm3. Its energy relative to the elements, uncorrected is 0.033 eV/atom. The calculation puts the total energy at -137.995 eV per cell.

***

Below is La3HgC after structural relaxation, with properties calculated at the GGA-PBEsol level.

Unit cell a=5.1298 b=5.1298 c=5.1298 alpha=90.00 beta=90.00 gamma=90.00
Space group Pm-3m (No. 221)
Asymmetric unit:
La 0.0000 0.0000 0.5000 x3
Hg 0.5000 0.5000 0.5000 x1
C 0.0000 0.0000 0.0000 x1

Summary:
The theoretical density is 7.741 g/cm3. The formation energy comes out at -0.230 eV per atom. The calculation puts the total energy at -27.400 eV per cell.

***

Below is La2YHgC after structural relaxation, with properties calculated at the GGA-PBEsol level.

Unit cell a=5.1679 b=5.1679 c=4.8046 alpha=90.00 beta=90.00 gamma=90.00
Space group P4/mmm (No. 123)
Asymmetric unit:
La 0.0000 0.5000 0.0000 x2
Y 0.0000 0.0000 0.5000 x1
Hg 0.5000 0.5000 0.5000 x1
C 0.0000 0.0000 0.0000 x1

Summary:
The theoretical density is 7.497 g/cm3. The formation energy comes out at -0.294 eV per atom. The calculation puts the total energy at -29.194 eV per cell.

***

Below is Mg3HgC after structural relaxation, with properties calculated at the GGA-PBEsol level.

Unit cell a=5.1337 b=5.1337 c=5.1337 alpha=90.00 beta=90.00 gamma=90.00
Space group Pm-3m (No. 221)
Asymmetric unit:
Mg 0.0000 0.0000 0.5000 x3
Hg 0.0000 0.0000 0.0000 x1
C 0.5000 0.5000 0.5000 x1

Summary:
The theoretical density is 3.504 g/cm3. The formation energy comes out at 1.399 eV per atom. The calculation puts the total energy at -8.368 eV per cell.

***

Below is MgHgC2 after structural relaxation, with properties calculated at the GGA-PBEsol level.

Unit cell a=5.8551 b=5.8551 c=5.8551 alpha=90.00 beta=90.00 gamma=90.00
Space group Fm-3m (No. 225)
Asymmetric unit:
Mg 0.0000 0.0000 0.0000 x4
Hg 0.0000 0.0000 0.5000 x4
C 0.2500 0.2500 0.2500 x8

Summary:
The theoretical density is 8.237 g/cm3. The formation energy comes out at 1.901 eV per atom. The calculation puts the total energy at -55.864 eV per cell.

***

Below is Y2MgHgC after structural relaxation, with properties calculated at the GGA-PBEsol level.

Unit cell a=4.8985 b=4.8985 c=4.3152 alpha=90.00 beta=90.00 gamma=90.00
Space group P4/mmm (No. 123)
Asymmetric unit:
Y 0.0000 0.5000 0.0000 x2
Mg 0.0000 0.0000 0.5000 x1
Hg 0.5000 0.5000 0.5000 x1
C 0.0000 0.0000 0.0000 x1

Summary:
The theoretical density is 6.651 g/cm3. The formation energy comes out at -0.356 eV per atom. The calculation puts the total energy at -27.351 eV per cell.

***

Below is Mn2SnHgC after structural relaxation, with properties calculated at the GGA-PBEsol level.

Unit cell a=5.0018 b=5.0018 c=5.2878 alpha=90.00 beta=90.00 gamma=90.00
Space group P4/mmm (No. 123)
Asymmetric unit:
Mn 0.0000 0.5000 0.0000 x2
Sn 0.0000 0.0000 0.5000 x1
Hg 0.0000 0.0000 0.0000 x1
C 0.5000 0.5000 0.5000 x1

Summary:
The theoretical density is 5.538 g/cm3. The formation energy comes out at 2.346 eV per atom. The calculation puts the total energy at -22.264 eV per cell.

***

Below is HgCN2O after structural relaxation, with properties calculated at the GGA-PBEsol level.

Unit cell a=4.2126 b=4.2126 c=4.1581 alpha=90.00 beta=90.00 gamma=90.00
Space group P4/mmm (No. 123)
Asymmetric unit:
Hg 0.0000 0.0000 0.0000 x1
C 0.5000 0.5000 0.5000 x1
N 0.0000 0.5000 0.0000 x2
O 0.0000 0.0000 0.5000 x1

Summary:
The theoretical density is 5.775 g/cm3. Its energy relative to the elements, uncorrected is 3.287 eV/atom. The calculation puts the total energy at -16.078 eV per cell.

***

Below is RbHgC3N3O3 after structural relaxation, with properties calculated at the GGA-PBEsol level.

Unit cell a=10.4224 b=4.0651 c=18.1737 alpha=90.00 beta=90.00 gamma=90.00
Space group Pnma (No. 62)
Asymmetric unit:
Rb 0.0808 0.2500 0.1605 x4
Hg 0.1479 0.2500 0.5383 x4
C 0.1121 0.2500 0.3765 x4
C 0.1273 0.2500 0.7024 x4
C 0.1294 0.2500 0.9713 x4
N 0.0569 0.2500 0.4352 x4
N 0.1994 0.2500 0.6503 x4
N 0.2188 0.2500 0.0134 x4
O 0.0390 0.2500 0.9295 x4
O 0.0622 0.2500 0.7567 x4
O 0.1593 0.2500 0.3165 x4

Summary:
The theoretical density is 3.555 g/cm3. Its energy relative to the elements, uncorrected is -0.560 eV/atom. The calculation puts the total energy at -312.025 eV per cell.

***

Below is RbHgC3S3N3 after structural relaxation, with properties calculated at the GGA-PBEsol level.

Unit cell a=11.0806 b=4.1359 c=11.4574 alpha=90.00 beta=114.60 gamma=90.00
Space group P2_1/m (No. 11)
Asymmetric unit:
Rb 0.2125 0.2500 0.0894 x2
Hg 0.2247 0.7500 0.6426 x2
C 0.0290 0.7500 0.7756 x2
C 0.2970 0.7500 0.4015 x2
C 0.4641 0.2500 0.8545 x2
S 0.0077 0.2500 0.3798 x2
S 0.3031 0.2500 0.8167 x2
S 0.3928 0.7500 0.5572 x2
N 0.0542 0.7500 0.8863 x2
N 0.2359 0.7500 0.2892 x2
N 0.4207 0.7500 0.1169 x2

Summary:
The theoretical density is 3.202 g/cm3. Its energy relative to the elements, uncorrected is 0.031 eV/atom. The calculation puts the total energy at -137.819 eV per cell.

***

Below is ZnHgC4S4N4 after structural relaxation, with properties calculated at the GGA-PBEsol level.

Unit cell a=11.0865 b=11.0865 c=4.6200 alpha=90.00 beta=90.00 gamma=90.00
Space group I-4 (No. 82)
Asymmetric unit:
Zn 0.0000 0.0000 0.0000 x2
Hg 0.0000 0.5000 0.2500 x2
C 0.0712 0.7750 0.3638 x8
S 0.1129 0.6576 0.5528 x8
N 0.0432 0.8615 0.2327 x8

Summary:
The theoretical density is 2.915 g/cm3. Its energy relative to the elements, uncorrected is 0.136 eV/atom. The calculation puts the total energy at -180.923 eV per cell.

***

Below is HgTe2CN after structural relaxation, with properties calculated at the GGA-PBEsol level.

Unit cell a=6.7368 b=6.7368 c=2.6066 alpha=90.00 beta=90.00 gamma=90.00
Space group P4/mmm (No. 123)
Asymmetric unit:
Hg 0.0000 0.0000 0.0000 x1
Te 0.0000 0.5000 0.5000 x2
C 0.5000 0.5000 0.5000 x1
N 0.5000 0.5000 0.0000 x1

Summary:
The theoretical density is 6.763 g/cm3. Its energy relative to the elements, uncorrected is 0.722 eV/atom. The calculation puts the total energy at -22.179 eV per cell.

***

Below is NaHg3C after structural relaxation, with properties calculated at the GGA-PBEsol level.

Unit cell a=5.6121 b=5.6121 c=5.6121 alpha=90.00 beta=90.00 gamma=90.00
Space group Pm-3m (No. 221)
Asymmetric unit:
Na 0.0000 0.0000 0.0000 x1
Hg 0.0000 0.0000 0.5000 x3
C 0.5000 0.5000 0.5000 x1

Summary:
The theoretical density is 5.982 g/cm3. The formation energy comes out at 1.633 eV per atom. The calculation puts the total energy at -4.580 eV per cell.

***

Below is Na2SrHgC after structural relaxation, with properties calculated at the GGA-PBEsol level.

Unit cell a=5.8041 b=5.8041 c=4.1055 alpha=90.00 beta=90.00 gamma=90.00
Space group P4/mmm (No. 123)
Asymmetric unit:
Na 0.0000 0.5000 0.0000 x2
Sr 0.0000 0.0000 0.5000 x1
Hg 0.5000 0.5000 0.0000 x1
C 0.5000 0.5000 0.5000 x1

Summary:
The theoretical density is 4.157 g/cm3. The formation energy comes out at 0.845 eV per atom. The calculation puts the total energy at -10.625 eV per cell.